1.
Material: Sc2AlCo
Method: DFT, meta-GGA SCAN
State: PBEsol geometry

Lattice parameters (Å, degrees): 3.267 4.525 4.525 90.00 90.00 90.00
Last column: magnetic moment on the atom in μB.
Fractional coordinates of all 4 atoms:
1 Sc 0.000 0.000 0.500  -0.25
2 Sc 0.000 0.500 0.000  -0.25
3 Co 0.500 0.000 0.000  1.47
4 Al 0.500 0.500 0.500  0.00

* DFT formation energy: -156 kJ/mol of formula units
* crystal system: tetragonal
* M_tot: 0.58 μB per formula unit
* N(E_F): 2.435 states/eV per cell

***

2.
Material: CaLa2Zn
Method: DFT, meta-GGA SCAN
State: PBEsol geometry

Lattice parameters (Å, degrees): 3.806 3.806 8.649 90.00 90.00 90.00
Fractional coordinates of all 4 atoms:
1 Ca 0.500 0.500 0.500
2 Zn 0.500 0.500 0.000
3 La 0.000 0.000 0.190
4 La 0.000 0.000 0.810

* DFT formation energy: -59 kJ/mol of formula units
* crystal system: tetragonal
* M_tot: 0.15 μB per formula unit
* N(E_F): 3.815 states/eV per cell

***

3.
Material: MoPS3
Method: DFT, meta-GGA SCAN
State: PBEsol geometry

Lattice parameters (Å, degrees): 4.601 4.601 4.601 90.00 90.00 90.00
Last column: magnetic moment on the atom in μB.
Fractional coordinates of all 5 atoms:
1 S 0.500 0.000 0.000  -0.07
2 S 0.000 0.500 0.000  -0.07
3 S 0.000 0.000 0.500  -0.07
4 Mo 0.000 0.000 0.000  0.56
5 P 0.500 0.500 0.500  0.84

* crystal system: cubic
* E_form (uncorrected): 543 meV per atom
* M_tot: 2.10 μB per formula unit
* N(E_F): 3.738 states/eV per cell

***

4.
Material: Cs2ScFe
Method: DFT, meta-GGA SCAN
State: PBEsol geometry

Lattice parameters (Å, degrees): 5.947 5.947 5.947 60.00 60.00 60.00
Last column: magnetic moment on the atom in μB.
Fractional coordinates of all 4 atoms:
1 Cs 0.750 0.750 0.750  -0.05
2 Cs 0.250 0.250 0.250  -0.05
3 Fe 0.500 0.500 0.500  3.25
4 Sc 0.000 0.000 0.000  -1.02

* DFT formation energy: 530 kJ/mol of formula units
* crystal system: cubic
* M_tot: 1.05 μB per formula unit
* N(E_F): 3.122 states/eV per cell

***

5.
Material: PtRh2Au
Method: DFT, meta-GGA SCAN
State: PBEsol geometry

Lattice parameters (Å, degrees): 2.753 4.751 4.769 100.14 90.00 106.84
Fractional coordinates of all 4 atoms:
1 Au 0.502 0.003 0.501
2 Rh 0.997 0.994 0.995
3 Rh 0.256 0.512 0.761
4 Pt 0.745 0.491 0.242

* DFT formation energy: 35 kJ/mol of formula units
* crystal system: monoclinic
* polymorph energy (0 for the lowest one): 42.5 meV per atom
* M_tot: 0.01 μB per formula unit
* N(E_F): 5.447 states/eV per cell

***

6.
Material: HfTcCl2
Method: DFT, meta-GGA SCAN
State: PBEsol geometry

Lattice parameters (Å, degrees): 3.072 3.072 8.676 79.80 79.80 60.00
Last column: magnetic moment on the atom in μB.
Fractional coordinates of all 4 atoms:
1 Cl 0.098 0.098 0.706  0.04
2 Cl 0.902 0.902 0.294  0.04
3 Tc 0.500 0.500 0.500  1.07
4 Hf 0.000 0.000 0.000  -0.04

* crystal system: trigonal
* E_form (uncorrected): 109 meV per atom
* M_tot: 1.16 μB per formula unit
* N(E_F): 4.160 states/eV per cell

***

7.
Material: Ca2AgPt
Method: DFT, meta-GGA SCAN
State: PBEsol geometry

Lattice parameters (Å, degrees): 3.607 4.905 4.906 90.00 90.00 90.00
Fractional coordinates of all 4 atoms:
1 Ag 0.500 0.500 0.127
2 Ca 0.000 0.000 0.124
3 Ca 0.000 0.500 0.626
4 Pt 0.500 0.000 0.624

* DFT formation energy: -258 kJ/mol of formula units
* crystal system: orthorhombic
* M_tot: 0.00 μB per formula unit
* N(E_F): 1.769 states/eV per cell

***

8.
Material: NbCo2
Method: DFT, meta-GGA SCAN
State: PBEsol geometry

Lattice parameters (Å, degrees): 4.715 4.715 7.657 90.00 90.00 120.00
Last column: magnetic moment on the atom in μB.
Fractional coordinates of all 12 atoms:
1 Nb 0.333 0.667 0.065  -0.15
2 Nb 0.667 0.333 0.935  -0.15
3 Nb 0.333 0.667 0.435  -0.15
4 Nb 0.667 0.333 0.565  -0.15
5 Co 0.168 0.832 0.750  1.25
6 Co 0.336 0.168 0.250  1.25
7 Co 0.168 0.336 0.750  1.25
8 Co 0.832 0.664 0.250  1.25
9 Co 0.000 0.000 0.000  1.43
10 Co 0.000 0.000 0.500  1.43
11 Co 0.664 0.832 0.750  1.25
12 Co 0.832 0.168 0.250  1.25

* DFT formation energy: -7 kJ/mol of formula units
* crystal system: hexagonal
* M_tot: 2.41 μB per formula unit
* N(E_F): 16.369 states/eV per cell

***

9.
Material: La2AgSn2
Method: DFT, meta-GGA SCAN
State: PBEsol geometry

Lattice parameters (Å, degrees): 4.841 7.554 7.554 90.00 90.00 90.00
Fractional coordinates of all 10 atoms:
1 La 0.500 0.170 0.670
2 La 0.500 0.330 0.170
3 La 0.500 0.830 0.330
4 La 0.500 0.670 0.830
5 Ag 0.000 0.500 0.500
6 Ag 0.000 0.000 0.000
7 Sn 0.000 0.864 0.636
8 Sn 0.000 0.636 0.136
9 Sn 0.000 0.364 0.864
10 Sn 0.000 0.136 0.364

* DFT formation energy: -345 kJ/mol of formula units
* crystal system: tetragonal
* M_tot: 0.00 μB per formula unit
* N(E_F): 6.502 states/eV per cell

***

10.
Material: Ba2CrBr
Method: DFT, meta-GGA SCAN
State: PBEsol geometry

Lattice parameters (Å, degrees): 4.008 5.451 6.665 89.95 107.50 90.00
Last column: magnetic moment on the atom in μB.
Fractional coordinates of all 4 atoms:
1 Ba 0.995 0.874 0.991  0.08
2 Ba 0.253 0.376 0.505  0.11
3 Br 0.517 0.374 0.034  0.02
4 Cr 0.735 0.876 0.470  4.24

* crystal system: monoclinic
* E_form (uncorrected): -499 meV per atom
* M_tot: 5.62 μB per formula unit
* N(E_F): 3.653 states/eV per cell

***

11.
Material: DyBiPd
Method: DFT, meta-GGA SCAN
State: PBEsol geometry

Lattice parameters (Å, degrees): 4.676 4.676 4.676 60.00 60.00 60.00
Fractional coordinates of all 3 atoms:
1 Bi 0.000 0.000 0.000
2 Pd 0.250 0.250 0.250
3 Dy 0.500 0.500 0.500

* DFT formation energy: -324 kJ/mol of formula units
* crystal system: cubic
* M_tot: 0.00 μB per formula unit
* N(E_F): 0.015 states/eV per cell

***

12.
Material: MgSc2Tc
Method: DFT, meta-GGA SCAN
State: PBEsol geometry

Lattice parameters (Å, degrees): 3.190 3.190 9.414 80.25 80.25 60.00
Fractional coordinates of all 4 atoms:
1 Sc 0.765 0.765 0.706
2 Sc 0.235 0.235 0.294
3 Tc 0.500 0.500 0.500
4 Mg 0.000 0.000 0.000

* DFT formation energy: -18 kJ/mol of formula units
* crystal system: trigonal
* M_tot: 0.00 μB per formula unit
* N(E_F): 3.165 states/eV per cell

***

13.
Material: AlBi3C
Method: DFT, meta-GGA SCAN
State: PBEsol geometry

Lattice parameters (Å, degrees): 5.331 5.331 5.331 90.00 90.00 90.00
Last column: magnetic moment on the atom in μB.
Fractional coordinates of all 5 atoms:
1 Bi 0.500 0.000 0.000  0.02
2 Bi 0.000 0.500 0.000  0.02
3 Bi 0.000 0.000 0.500  0.02
4 C 0.500 0.500 0.500  -0.96
5 Al 0.000 0.000 0.000  -0.01

* DFT formation energy: 890 kJ/mol of formula units
* crystal system: cubic
* M_tot: 1.97 μB per formula unit
* N(E_F): 5.862 states/eV per cell

***

14.
Material: LaCrRe2Pt
Method: DFT, meta-GGA SCAN
State: PBEsol geometry

Lattice parameters (Å, degrees): 4.802 4.802 4.963 90.00 90.00 90.00
Last column: magnetic moment on the atom in μB.
Fractional coordinates of all 5 atoms:
1 Cr 0.500 0.500 0.500  4.04
2 Re 0.000 0.500 0.000  -1.04
3 Re 0.500 0.000 0.000  -1.04
4 Pt 0.000 0.000 0.500  -0.04
5 La 0.000 0.000 0.000  0.00

* DFT formation energy: 1261 kJ/mol of formula units
* crystal system: tetragonal
* M_tot: 1.89 μB per formula unit
* N(E_F): 5.626 states/eV per cell

***

15.
Material: Mo3CS
Method: DFT, meta-GGA SCAN
State: PBEsol geometry

Lattice parameters (Å, degrees): 4.100 4.100 4.100 90.00 90.00 90.00
Fractional coordinates of all 5 atoms:
1 Mo 0.000 0.500 0.000
2 Mo 0.500 0.000 0.000
3 Mo 0.000 0.000 0.500
4 C 0.000 0.000 0.000
5 S 0.500 0.500 0.500

* crystal system: cubic
* E_form (uncorrected): 623 meV per atom
* M_tot: 0.00 μB per formula unit
* N(E_F): 4.746 states/eV per cell

***

16.
Material: Tl5Au3
Method: DFT, meta-GGA SCAN
State: PBEsol geometry

Lattice parameters (Å, degrees): 6.022 8.583 8.583 120.00 90.00 90.00
Fractional coordinates of all 16 atoms:
1 Au 0.750 0.000 0.608
2 Au 0.250 0.000 0.392
3 Au 0.250 0.608 0.608
4 Au 0.250 0.392 0.000
5 Au 0.750 0.608 0.000
6 Au 0.750 0.392 0.392
7 Tl 0.250 0.251 0.251
8 Tl 0.000 0.667 0.333
9 Tl 0.000 0.333 0.667
10 Tl 0.250 0.000 0.749
11 Tl 0.750 0.251 0.000
12 Tl 0.750 0.749 0.749
13 Tl 0.500 0.333 0.667
14 Tl 0.750 0.000 0.251
15 Tl 0.250 0.749 0.000
16 Tl 0.500 0.667 0.333

* DFT formation energy: 6 kJ/mol of formula units
* crystal system: hexagonal
* polymorph energy (0 for the lowest one): 0.0 meV per atom
* M_tot: 0.00 μB per formula unit
* N(E_F): 6.303 states/eV per cell

***

17.
Material: SrTcOs2
Method: DFT, meta-GGA SCAN
State: PBEsol geometry

Lattice parameters (Å, degrees): 2.944 4.780 4.780 90.00 90.00 90.00
Fractional coordinates of all 4 atoms:
1 Sr 0.500 0.500 0.500
2 Os 0.000 0.000 0.500
3 Os 0.000 0.500 0.000
4 Tc 0.500 0.000 0.000

* DFT formation energy: 459 kJ/mol of formula units
* crystal system: tetragonal
* polymorph energy (0 for the lowest one): 278.2 meV per atom
* M_tot: 0.00 μB per formula unit
* N(E_F): 3.882 states/eV per cell

***

18.
Material: CaFeBr
Method: DFT, meta-GGA SCAN
State: PBEsol geometry

Lattice parameters (Å, degrees): 3.365 3.365 6.087 106.04 106.04 90.08
Last column: magnetic moment on the atom in μB.
Fractional coordinates of all 3 atoms:
1 Ca 0.332 0.332 0.664  -0.07
2 Br 0.014 0.014 0.027  0.04
3 Fe 0.655 0.655 0.309  3.16

* crystal system: tetragonal
* E_form (uncorrected): -192 meV per atom
* M_tot: 3.00 μB per formula unit
* N(E_F): 0.064 states/eV per cell

***

19.
Material: Zr5Sb
Method: DFT, meta-GGA SCAN
State: PBEsol geometry

Lattice parameters (Å, degrees): 4.331 4.291 7.341 90.00 107.16 90.00
Fractional coordinates of all 6 atoms:
1 Sb 0.500 0.000 0.000
2 Zr 0.000 0.500 0.000
3 Zr 0.669 0.500 0.337
4 Zr 0.331 0.500 0.663
5 Zr 0.834 0.000 0.668
6 Zr 0.166 0.000 0.332

* crystal system: orthorhombic
* E_form (uncorrected): -299 meV per atom
* M_tot: 0.00 μB per formula unit
* N(E_F): 5.832 states/eV per cell

***

20.
Material: Mg2BeCd
Method: DFT, meta-GGA SCAN
State: PBEsol geometry

Lattice parameters (Å, degrees): 2.995 5.041 5.376 111.97 106.17 90.00
Fractional coordinates of all 4 atoms:
1 Cd 0.782 0.234 0.565
2 Be 0.486 0.552 0.971
3 Mg 0.011 0.033 0.021
4 Mg 0.221 0.681 0.443

* DFT formation energy: 57 kJ/mol of formula units
* crystal system: monoclinic
* polymorph energy (0 for the lowest one): 19.0 meV per atom
* M_tot: 0.00 μB per formula unit
* N(E_F): 1.129 states/eV per cell